Entry 1:
The following is a DFT calculation (SCAN) of Mn2HgSe2 at its PBEsol-relaxed geometry.

Summary:
The raw formation energy comes out at -0.286 eV per atom.

a b c (Å): 3.5297 3.5297 8.5304
angles (deg): 101.94 101.94 90.00
Last column: magnetic moment on the atom in μB.
Sites, in units of the cell vectors:
Mn (0.2500, 0.7500, 0.5000)  1.83
Mn (0.7500, 0.2500, 0.5000)  1.83
Se (0.6545, 0.6545, 0.3091)  -0.18
Hg (0.0000, 0.0000, 0.0000)  -0.03
Se (0.3455, 0.3455, 0.6909)  -0.18

=====

Entry 2:
The following is a DFT calculation (SCAN) of HfTi2Nb at its PBEsol-relaxed geometry.

Summary:
For the energy of formation from the pure elements, the calculation gives 0.104 eV/atom.

a b c (Å): 4.6441 4.6441 4.6441
angles (deg): 60.00 60.00 60.00
Sites, in units of the cell vectors:
Hf (0.5000, 0.5000, 0.5000)
Ti (0.2500, 0.2500, 0.2500)
Nb (0.0000, 0.0000, 0.0000)
Ti (0.7500, 0.7500, 0.7500)

=====

Entry 3:
The following is a DFT calculation (SCAN) of HfRuSeBr2 at its PBEsol-relaxed geometry.

Summary:
The raw formation energy comes out at 0.530 eV per atom.

a b c (Å): 4.7948 4.7948 4.8574
angles (deg): 90.00 90.00 90.00
Last column: magnetic moment on the atom in μB.
Sites, in units of the cell vectors:
Br (0.0000, 0.5000, 0.0000)  -0.01
Ru (0.0000, 0.0000, 0.0000)  -0.52
Hf (0.5000, 0.5000, 0.5000)  0.99
Br (0.5000, 0.0000, 0.0000)  -0.01
Se (0.0000, 0.0000, 0.5000)  -0.08

=====

Entry 4:
The following is a DFT calculation (SCAN) of NbFePd2 at its PBEsol-relaxed geometry.

Summary:
For the energy of formation from the pure elements, the calculation gives -0.024 eV/atom.

a b c (Å): 4.3849 4.3849 4.3849
angles (deg): 60.00 60.00 60.00
Last column: magnetic moment on the atom in μB.
Sites, in units of the cell vectors:
Pd (0.7500, 0.7500, 0.7500)  -0.02
Fe (0.0000, 0.0000, 0.0000)  3.29
Pd (0.2500, 0.2500, 0.2500)  -0.02
Nb (0.5000, 0.5000, 0.5000)  -0.32

=====

no.,V (Å³/cell)
1,101.6
2,70.8
3,111.7
4,59.6